# 1
First-principles (GGA-PBE) data for a relaxed ScSb2Te crystal, as listed in Alexandria. Values from VASP.

Quantum ESPRESSO input file:
```
&SYSTEM
  ibrav = 0, nat = 4, ntyp = 3
/
ATOMIC_SPECIES
Sb 121.76 Sb.upf
Sc 44.96 Sc.upf
Te 127.60 Te.upf
CELL_PARAMETERS angstrom
3.748 0.000 0.000
0.000 3.748 0.000
0.000 0.000 7.667
ATOMIC_POSITIONS crystal
Sb 0.000 0.000 0.046
Sb 0.500 0.500 0.260
Sc 0.000 0.000 0.504
Te 0.500 0.500 0.689
```

Summary:
Crystal system: tetragonal
Total magnetic moment (μB/f.u.): 0.0
Total energy (eV per atom): -4.849

# 2
First-principles (GGA-PBE) data for a relaxed ScSbTe3 crystal, as listed in Alexandria. Values from VASP.

Quantum ESPRESSO input file:
```
&SYSTEM
  ibrav = 0, nat = 5, ntyp = 3
/
ATOMIC_SPECIES
Sc 44.96 Sc.upf
Sb 121.76 Sb.upf
Te 127.60 Te.upf
CELL_PARAMETERS angstrom
-1.043 1.559 -5.167
-1.976 -5.007 -1.112
-5.022 1.646 1.510
ATOMIC_POSITIONS crystal
Sc 0.000 0.000 0.000
Sb 0.500 0.500 0.500
Te 0.000 0.500 0.000
Te 0.000 0.000 0.500
Te 0.500 0.000 0.000
```

Summary:
Energy above the lowest structure with this stoichiometry (meV per atom): 604
Crystal system: cubic
Total magnetic moment (μB/f.u.): 0.0
Total energy (eV per atom): -4.025

# 3
First-principles (GGA-PBE) data for a relaxed ScSbTe2 crystal, as listed in Alexandria. Values from VASP.

Quantum ESPRESSO input file:
```
&SYSTEM
  ibrav = 0, nat = 4, ntyp = 3
/
ATOMIC_SPECIES
Sb 121.76 Sb.upf
Sc 44.96 Sc.upf
Te 127.60 Te.upf
CELL_PARAMETERS angstrom
-2.015 5.983 0.052
-6.172 1.327 -0.072
4.048 -3.697 3.131
ATOMIC_POSITIONS crystal
Sb 0.500 0.500 0.000
Sc 0.750 0.250 0.500
Te 0.000 0.000 0.000
Te 0.250 0.750 0.500
```

Summary:
Crystal system: tetragonal
Total magnetic moment (μB/f.u.): 0.0
Total energy (eV per atom): -4.497

# 4
First-principles (GGA-PBE) data for a relaxed ScSbTe2 crystal, as listed in Alexandria. Values from VASP.

Quantum ESPRESSO input file:
```
&SYSTEM
  ibrav = 0, nat = 4, ntyp = 3
/
ATOMIC_SPECIES
Sb 121.76 Sb.upf
Sc 44.96 Sc.upf
Te 127.60 Te.upf
CELL_PARAMETERS angstrom
4.282 0.000 0.000
0.000 7.961 -0.216
0.000 5.287 3.278
ATOMIC_POSITIONS crystal
Sb 0.500 0.500 0.500
Sc 0.000 0.000 0.500
Te 0.000 0.000 0.000
Te 0.500 0.500 0.000
```

Summary:
Crystal system: monoclinic
Total magnetic moment (μB/f.u.): 0.0
Total energy (eV per atom): -4.635

# 5
First-principles (GGA-PBE) data for a relaxed ScSb2Te crystal, as listed in Alexandria. Values from VASP.

Quantum ESPRESSO input file:
```
&SYSTEM
  ibrav = 0, nat = 4, ntyp = 3
/
ATOMIC_SPECIES
Sb 121.76 Sb.upf
Sc 44.96 Sc.upf
Te 127.60 Te.upf
CELL_PARAMETERS angstrom
5.314 -0.013 0.000
-1.276 5.158 0.000
0.000 0.000 3.778
ATOMIC_POSITIONS crystal
Sb 0.000 0.000 0.000
Sb 0.500 0.500 0.000
Sc 0.500 0.000 0.500
Te 0.000 0.500 0.500
```

Summary:
Crystal system: orthorhombic
Total magnetic moment (μB/f.u.): 0.0
Total energy (eV per atom): -4.637

# 6
First-principles (GGA-PBE) data for a relaxed ScSbTe2 crystal, as listed in Alexandria. Values from VASP.

Quantum ESPRESSO input file:
```
&SYSTEM
  ibrav = 0, nat = 4, ntyp = 3
/
ATOMIC_SPECIES
Sb 121.76 Sb.upf
Sc 44.96 Sc.upf
Te 127.60 Te.upf
CELL_PARAMETERS angstrom
5.301 0.000 0.000
0.000 5.301 0.000
0.000 0.000 3.748
ATOMIC_POSITIONS crystal
Sb 0.500 0.000 0.500
Sc 0.000 0.500 0.500
Te 0.000 0.000 0.000
Te 0.500 0.500 0.000
```

Summary:
Crystal system: tetragonal
Total magnetic moment (μB/f.u.): 0.1
Total energy (eV per atom): -4.517

# 7
First-principles (GGA-PBE) data for a relaxed ScSbTe2 crystal, as listed in Alexandria. Values from VASP.

Quantum ESPRESSO input file:
```
&SYSTEM
  ibrav = 0, nat = 4, ntyp = 3
/
ATOMIC_SPECIES
Sb 121.76 Sb.upf
Sc 44.96 Sc.upf
Te 127.60 Te.upf
CELL_PARAMETERS angstrom
-1.153 3.550 1.041
-2.943 0.535 -5.085
-5.628 -1.754 -0.252
ATOMIC_POSITIONS crystal
Sb 0.500 0.250 0.250
Sc 0.500 0.750 0.750
Te 0.000 0.970 0.970
Te 0.000 0.530 0.530
```

Summary:
Crystal system: orthorhombic
Total magnetic moment (μB/f.u.): 0.0
Total energy (eV per atom): -4.529

# 8
First-principles (GGA-PBE) data for a relaxed ScSb2Te crystal, as listed in Alexandria. Values from VASP.

Quantum ESPRESSO input file:
```
&SYSTEM
  ibrav = 0, nat = 8, ntyp = 3
/
ATOMIC_SPECIES
Sc 44.96 Sc.upf
Sb 121.76 Sb.upf
Te 127.60 Te.upf
CELL_PARAMETERS angstrom
-4.798 1.543 -3.586
2.281 -3.502 -4.559
-5.333 -7.230 -1.311
ATOMIC_POSITIONS crystal
Sc 0.500 0.500 0.000
Sc 0.250 0.750 0.500
Sb 0.599 0.125 0.250
Sb 0.151 0.625 0.250
Sb 0.375 0.401 0.750
Sb 0.875 0.849 0.750
Te 0.000 0.000 0.000
Te 0.750 0.250 0.500
```

Summary:
Crystal system: tetragonal
Total magnetic moment (μB/f.u.): 0.0
Total energy (eV per atom): -4.364

# 9
First-principles (GGA-PBE) data for a relaxed ScSb3Te crystal, as listed in Alexandria. Values from VASP.

Quantum ESPRESSO input file:
```
&SYSTEM
  ibrav = 0, nat = 5, ntyp = 3
/
ATOMIC_SPECIES
Sc 44.96 Sc.upf
Sb 121.76 Sb.upf
Te 127.60 Te.upf
CELL_PARAMETERS angstrom
5.473 0.000 0.000
0.000 5.473 0.000
0.000 0.000 5.473
ATOMIC_POSITIONS crystal
Sc 0.000 0.000 0.000
Sb 0.000 0.500 0.000
Sb 0.000 0.000 0.500
Sb 0.500 0.000 0.000
Te 0.500 0.500 0.500
```

Summary:
Energy above the lowest structure with this stoichiometry (meV per atom): 0
Crystal system: cubic
Total magnetic moment (μB/f.u.): 0.0
Total energy (eV per atom): -4.099

# 10
First-principles (GGA-PBE) data for a relaxed ScSbTe2 crystal, as listed in Alexandria. Values from VASP.

Quantum ESPRESSO input file:
```
&SYSTEM
  ibrav = 0, nat = 4, ntyp = 3
/
ATOMIC_SPECIES
Sb 121.76 Sb.upf
Sc 44.96 Sc.upf
Te 127.60 Te.upf
CELL_PARAMETERS angstrom
-4.585 6.645 -4.232
-3.561 4.339 -7.181
-6.711 3.508 -5.072
ATOMIC_POSITIONS crystal
Sb 0.750 0.750 0.750
Sc 0.250 0.250 0.250
Te 0.987 0.987 0.987
Te 0.513 0.513 0.513
```

Summary:
Crystal system: trigonal
Total magnetic moment (μB/f.u.): 0.0
Total energy (eV per atom): -4.620

# 11
First-principles (GGA-PBE) data for a relaxed ScSbTe4 crystal, as listed in Alexandria. Values from VASP.

Quantum ESPRESSO input file:
```
&SYSTEM
  ibrav = 0, nat = 6, ntyp = 3
/
ATOMIC_SPECIES
Sc 44.96 Sc.upf
Sb 121.76 Sb.upf
Te 127.60 Te.upf
CELL_PARAMETERS angstrom
4.005 0.000 0.000
-2.002 7.380 -0.102
0.000 -3.803 6.504
ATOMIC_POSITIONS crystal
Sc 0.500 0.000 0.500
Sb 0.000 0.000 0.000
Te 0.358 0.715 0.044
Te 0.134 0.267 0.470
Te 0.642 0.285 0.956
Te 0.866 0.733 0.530
```

Summary:
Energy above the lowest structure with this stoichiometry (meV per atom): 0
Crystal system: monoclinic
Total magnetic moment (μB/f.u.): 0.0
Total energy (eV per atom): -4.289

# 12
First-principles (GGA-PBE) data for a relaxed ScSb2Te crystal, as listed in Alexandria. Values from VASP.

Quantum ESPRESSO input file:
```
&SYSTEM
  ibrav = 0, nat = 4, ntyp = 3
/
ATOMIC_SPECIES
Sb 121.76 Sb.upf
Sc 44.96 Sc.upf
Te 127.60 Te.upf
CELL_PARAMETERS angstrom
5.670 0.001 -0.005
4.506 3.442 -0.005
0.761 0.257 5.546
ATOMIC_POSITIONS crystal
Sb 0.999 0.999 0.989
Sb 0.784 0.784 0.709
Sc 0.507 0.507 0.509
Te 0.209 0.209 0.293
```

Summary:
Crystal system: monoclinic
Total magnetic moment (μB/f.u.): 0.0
Total energy (eV per atom): -4.718

# 13
First-principles (GGA-PBE) data for a relaxed ScSb2Te crystal, as listed in Alexandria. Values from VASP.

Quantum ESPRESSO input file:
```
&SYSTEM
  ibrav = 0, nat = 4, ntyp = 3
/
ATOMIC_SPECIES
Sb 121.76 Sb.upf
Sc 44.96 Sc.upf
Te 127.60 Te.upf
CELL_PARAMETERS angstrom
-0.236 2.779 -4.574
-0.602 -4.563 -2.742
-3.595 0.266 0.347
ATOMIC_POSITIONS crystal
Sb 0.000 0.000 0.000
Sb 0.500 0.500 0.000
Sc 0.500 0.000 0.500
Te 0.000 0.500 0.500
```

Summary:
Crystal system: tetragonal
Total magnetic moment (μB/f.u.): 0.0
Total energy (eV per atom): -4.599

# 14
First-principles (GGA-PBE) data for a relaxed ScSbTe3 crystal, as listed in Alexandria. Values from VASP.

Quantum ESPRESSO input file:
```
&SYSTEM
  ibrav = 0, nat = 20, ntyp = 3
/
ATOMIC_SPECIES
Sc 44.96 Sc.upf
Sb 121.76 Sb.upf
Te 127.60 Te.upf
CELL_PARAMETERS angstrom
4.233 0.000 0.000
0.000 10.672 0.000
0.000 0.000 14.802
ATOMIC_POSITIONS crystal
Sc 0.250 0.849 0.534
Sc 0.750 0.651 0.034
Sc 0.750 0.151 0.466
Sc 0.250 0.349 0.966
Sb 0.750 0.547 0.641
Sb 0.250 0.953 0.141
Sb 0.250 0.453 0.359
Sb 0.750 0.047 0.859
Te 0.250 0.711 0.707
Te 0.750 0.789 0.207
Te 0.750 0.289 0.293
Te 0.250 0.211 0.793
Te 0.750 0.991 0.622
Te 0.250 0.509 0.122
Te 0.250 0.009 0.378
Te 0.750 0.491 0.878
Te 0.750 0.669 0.466
Te 0.250 0.831 0.966
Te 0.250 0.331 0.534
Te 0.750 0.169 0.034
```

Summary:
Energy above the lowest structure with this stoichiometry (meV per atom): 0
Crystal system: orthorhombic
Total magnetic moment (μB/f.u.): 0.0
Total energy (eV per atom): -4.630